# 1
Density functional theory data (PBE) for PtSeS4 after structural relaxation.

Unit cell a=5.6965 b=5.6997 c=5.7087 alpha=63.88 beta=84.96 gamma=76.49
Last column: nearest neighbours and their distance in Å.
Space group P-1 (No. 2)
One atom of each set of equivalent atoms:
Pt 0.0000 0.0000 0.0000  4 S 2.36
Se 0.5000 0.5000 0.0000  4 S 2.50
S 0.0714 0.5314 0.1457  1 S 2.11
S 0.4017 0.9951 0.8549  1 S 2.11

## Properties
The total energy comes out at -26.205 eV per formula unit.

# 2
Density functional theory data (PBE) for Ac8SmHo2 after structural relaxation.

Unit cell a=13.4011 b=12.2682 c=6.2309 alpha=90.00 beta=102.86 gamma=90.00
Last column: nearest neighbours and their distance in Å.
Space group C2/m (No. 12)
One atom of each set of equivalent atoms:
Ac 0.0799 0.0000 0.2923  1 Ho 3.47, 3 Ac 3.65-3.79
Ac 0.1115 0.2464 0.8093  2 Ho 3.46-3.88, 1 Ac 3.72, 1 Sm 3.76
Ac 0.1429 0.5000 0.5043  1 Sm 3.30, 2 Ho 3.38-3.58, 1 Ac 3.65
Sm 0.0000 0.5000 0.0000  2 Ac 3.30, 2 Ho 3.43
Ho 0.2386 0.0000 0.9209  5 Ac 3.38-3.58, 1 Sm 3.43

## Properties
As for the calculated formation energy: 0.36 eV/atom. The total energy comes out at -42.796 eV per formula unit.

# 3
Density functional theory data (PBE) for Tm2GeAu after structural relaxation.

Unit cell a=4.3197 b=4.3197 c=18.4329 alpha=90.00 beta=90.00 gamma=120.00
Last column: nearest neighbours and their distance in Å.
Space group R-3m (No. 166, hexagonal axes)
One atom of each set of equivalent atoms:
Tm 0.0000 0.0000 0.2456  3 Ge 2.89, 3 Au 2.97
Ge 0.0000 0.0000 0.5000  6 Tm 2.89
Au 0.0000 0.0000 0.0000  6 Tm 2.97

## Properties
As for the calculated formation energy: -0.71 eV/atom. The total energy comes out at -19.686 eV per formula unit.

# 4
Density functional theory data (PBE) for Ac5ErPb5 after structural relaxation.

Unit cell a=17.3418 b=6.5312 c=7.9130 alpha=90.00 beta=106.56 gamma=90.00
Last column: nearest neighbours and their distance in Å.
Space group C2/m (No. 12)
One atom of each set of equivalent atoms:
Ac 0.0000 0.0000 0.0000  4 Pb 3.32-3.65
Ac 0.1499 0.5000 0.2754  5 Pb 3.43-3.70
Ac 0.1835 0.5000 0.7868  5 Pb 3.34-3.47
Er 0.0000 0.0000 0.5000  6 Pb 3.08-3.31
Pb 0.0000 0.5000 0.5000  2 Er 3.27, 4 Ac 3.34-3.54
Pb 0.1599 0.0000 0.8490  1 Er 3.31, 5 Ac 3.32-3.70, 1 Pb 3.47
Pb 0.1622 0.0000 0.4119  1 Er 3.08, 2 Ac 3.43

## Properties
As for the calculated formation energy: -0.33 eV/atom. The total energy comes out at -47.299 eV per formula unit.